Record 1
Computed, not measured: a geometry-optimized Sm2GeI3 structure at the PBE-GGA level of DFT.

Summary:
Magnetic moment, μB per formula unit: 0.00
Crystal system: monoclinic
VASP energy, eV per atom: -4.20

Lattice parameters (Å, degrees): 9.9130 9.9130 12.5472 124.02 124.02 27.36
With the nearest neighbours (Å) after each atom.
Fractional coordinates of all 12 atoms:
Sm: 0.1068 0.1068 0.4346  2 Ge 2.86-2.95, 2 I 3.20
Sm: 0.3684 0.3684 0.2133  2 Ge 2.91, 1 I 3.23
Sm: 0.6316 0.6316 0.7867  2 Ge 2.91, 1 I 3.23
Sm: 0.8932 0.8932 0.5654  2 Ge 2.86-2.95, 2 I 3.20
Ge: 0.0592 0.0592 0.6203  1 Ge 2.53
Ge: 0.9408 0.9408 0.3797  1 Ge 2.53
I: 0.1651 0.1651 0.0025  3 Sm 3.23-3.35
I: 0.2651 0.2651 0.3786  4 Sm 3.23-3.61
I: 0.4578 0.4578 0.7761  3 Sm 3.20-3.27
I: 0.5422 0.5422 0.2239  3 Sm 3.20-3.27
I: 0.7349 0.7349 0.6214  4 Sm 3.23-3.61
I: 0.8349 0.8349 0.9975  3 Sm 3.23-3.35


Record 2
Computed, not measured: a geometry-optimized Nb4Os5Ru structure at the PBE-GGA level of DFT.

Summary:
Magnetic moment, μB per formula unit: 0.00
Crystal system: orthorhombic
ΔH_f (0 K), eV per atom: 0.083
VASP energy, eV per atom: -10.49

Lattice parameters (Å, degrees): 6.6021 6.6021 6.6021 141.29 101.03 91.62
With the nearest neighbours (Å) after each atom.
Fractional coordinates of all 10 atoms:
Nb: 0.1676 0.1676 0.0000  2 Ru 2.68, 6 Os 2.79-2.82
Nb: 0.3078 0.5000 0.8078  1 Ru 2.58, 4 Os 2.72-2.77
Nb: 0.6922 0.5000 0.1922  1 Ru 2.58, 4 Os 2.72-2.77
Nb: 0.8324 0.8324 0.0000  2 Ru 2.68, 6 Os 2.79-2.82
Os: 0.1027 0.7730 0.3298  3 Os 2.53-2.60, 4 Nb 2.77-2.82
Os: 0.4432 0.7730 0.6702  3 Os 2.53-2.60, 4 Nb 2.77-2.82
Os: 0.5000 0.0000 0.5000  4 Os 2.53, 4 Nb 2.72
Os: 0.5568 0.2270 0.3298  3 Os 2.53-2.60, 4 Nb 2.77-2.82
Os: 0.8973 0.2270 0.6702  3 Os 2.53-2.60, 4 Nb 2.77-2.82
Ru: 0.0000 0.5000 0.5000  6 Nb 2.58-2.68, 4 Os 2.89


Record 3
Computed, not measured: a geometry-optimized SrY2As structure at the PBE-GGA level of DFT.

Summary:
Magnetic moment, μB per formula unit: 0.00
Crystal system: tetragonal
ΔH_f (0 K), eV per atom: -0.349
VASP energy, eV per atom: -5.16

Lattice parameters (Å, degrees): 7.2785 7.2785 7.2785 101.49 101.49 127.00
With the nearest neighbours (Å) after each atom.
Fractional coordinates of all 8 atoms:
Sr: 0.0000 0.0000 0.0000  2 As 3.25
Sr: 0.7500 0.2500 0.5000  2 As 3.25
Y: 0.2158 0.1250 0.5908  2 As 2.85
Y: 0.3750 0.7842 0.9092  2 As 2.85
Y: 0.5342 0.6250 0.4092  2 As 2.85
Y: 0.8750 0.4658 0.0908  2 As 2.85
As: 0.2500 0.7500 0.5000  4 Y 2.85
As: 0.5000 0.5000 0.0000  4 Y 2.85


Record 4
Computed, not measured: a geometry-optimized Y2Tm2Pb2C structure at the PBE-GGA level of DFT.

Summary:
Magnetic moment, μB per formula unit: 0.00
Crystal system: tetragonal
ΔH_f (0 K), eV per atom: -0.611
VASP energy, eV per atom: -6.11

Lattice parameters (Å, degrees): 8.7157 8.7157 8.7157 148.26 148.26 45.51
With the nearest neighbours (Å) after each atom.
Fractional coordinates of all 7 atoms:
Y: 0.1575 0.1575 0.0000  1 C 2.53
Y: 0.8425 0.8425 0.0000  1 C 2.53
Tm: 0.0000 0.5000 0.5000  2 C 2.38
Tm: 0.5000 0.0000 0.5000  2 C 2.38
Pb: 0.3587 0.3587 0.0000  5 Y 3.24-3.38, 4 Tm 3.29
Pb: 0.6413 0.6413 0.0000  5 Y 3.24-3.38, 4 Tm 3.29
C: 0.0000 0.0000 0.0000  4 Tm 2.38, 2 Y 2.53


Record 5
Computed, not measured: a geometry-optimized SrTaTe2O8 structure at the PBE-GGA level of DFT.

Summary:
Magnetic moment, μB per formula unit: 0.53
Crystal system: monoclinic
VASP energy, eV per atom: -6.73

Lattice parameters (Å, degrees): 6.6658 6.6658 5.6516 108.54 108.54 48.41
With the nearest neighbours (Å) after each atom.
Fractional coordinates of all 12 atoms:
Sr: 0.0000 0.0000 0.0000  6 O 2.45-2.68
Ta: 0.5000 0.5000 0.5000  6 O 1.93-2.04
Te: 0.2240 0.2240 0.7034  3 O 1.85-1.99
Te: 0.7760 0.7760 0.2966  3 O 1.85-1.99
O: 0.1350 0.6521 0.2723  1 Te 1.99, 1 Ta 2.04
O: 0.1868 0.1868 0.3562  1 Te 1.85
O: 0.3479 0.8650 0.7277  1 Te 1.99, 1 Ta 2.04
O: 0.4141 0.4141 0.7297  1 Ta 1.93
O: 0.5859 0.5859 0.2703  1 Ta 1.93
O: 0.6521 0.1350 0.2723  1 Te 1.99, 1 Ta 2.04
O: 0.8132 0.8132 0.6438  1 Te 1.85
O: 0.8650 0.3479 0.7277  1 Te 1.99, 1 Ta 2.04


Record 6
Computed, not measured: a geometry-optimized LaTb3In structure at the PBE-GGA level of DFT.

Summary:
Energy relative to the lowest polymorph listed for this composition, kJ/mol of formula units: 0
Magnetic moment, μB per formula unit: 0.00
Crystal system: orthorhombic
ΔH_f (0 K), eV per atom: -0.171
VASP energy, eV per atom: -4.48

Lattice parameters (Å, degrees): 12.9466 12.9466 4.8900 90.00 90.00 157.95
With the nearest neighbours (Å) after each atom.
Fractional coordinates of all 10 atoms:
La: 0.1469 0.8531 0.7500  8 Tb 3.46-3.60, 4 In 3.49
La: 0.8531 0.1469 0.2500  8 Tb 3.46-3.60, 4 In 3.49
Tb: 0.0464 0.9536 0.2500  8 Tb 3.40-3.51, 2 La 3.54, 2 In 3.70
Tb: 0.2507 0.7493 0.2500  4 In 3.43-3.47, 4 Tb 3.48, 4 La 3.59-3.60
Tb: 0.4482 0.5518 0.2500  2 La 3.46, 8 Tb 3.48-3.59, 2 In 3.58
Tb: 0.5518 0.4482 0.7500  2 La 3.46, 8 Tb 3.48-3.59, 2 In 3.58
Tb: 0.7493 0.2507 0.7500  4 In 3.43-3.47, 4 Tb 3.48, 4 La 3.59-3.60
Tb: 0.9536 0.0464 0.7500  8 Tb 3.40-3.51, 2 La 3.54, 2 In 3.70
In: 0.3453 0.6547 0.7500  8 Tb 3.43-3.70, 4 La 3.49
In: 0.6547 0.3453 0.2500  8 Tb 3.43-3.70, 4 La 3.49